Here is an optimized crystal structure of ReMoRh2 from Alexandria via LeMat-Bulk. Energies are from PBE.

Properties
Mass density, g/cm3: 13.77
Crystal system: tetragonal
Formation energy from the elements, eV per atom: -0.067
DFT total energy, eV/f.u.: -38.249
DOS at the Fermi energy, states/eV per cell: 7.2

Cell lengths 3.9347, 3.9347, 7.6033 Å; angles 90.00, 90.00, 90.00 degrees
Space group I-4m2 (No. 119)
Unique sites:
Re: 0.0000 0.0000 0.0000 (multiplicity 2)
Mo: 0.0000 0.5000 0.7500 (multiplicity 2)
Rh: 0.0000 0.0000 0.5000 (multiplicity 2)
Rh: 0.0000 0.5000 0.2500 (multiplicity 2)

Here is an optimized crystal structure of Re2MoRh2 from Alexandria via LeMat-Bulk. Energies are from PBE.

Properties
Mass density, g/cm3: 14.58
Crystal system: tetragonal
Formation energy from the elements, eV per atom: 0.181
DFT total energy, eV/f.u.: -49.526
DOS at the Fermi energy, states/eV per cell: 10.4

Cell lengths 7.5390, 7.5390, 2.7026 Å; angles 90.00, 90.00, 90.00 degrees
Space group P4/mbm (No. 127)
Unique sites:
Re: 0.1746 0.3254 0.0000 (multiplicity 4)
Mo: 0.0000 0.0000 0.5000 (multiplicity 2)
Rh: 0.1224 0.6224 0.5000 (multiplicity 4)

Here is an optimized crystal structure of ReMoRh4 from Alexandria via LeMat-Bulk. Energies are from PBE.

Properties
Mass density, g/cm3: 12.78
Crystal system: cubic
Formation energy from the elements, eV per atom: 0.336
DFT total energy, eV/f.u.: -50.668
DOS at the Fermi energy, states/eV per cell: 42.8

Cell lengths 7.1170, 7.1170, 7.1170 Å; angles 90.00, 90.00, 90.00 degrees
Space group F-43m (No. 216)
Unique sites:
Re: 0.0000 0.0000 0.0000 (multiplicity 4)
Mo: 0.2500 0.2500 0.2500 (multiplicity 4)
Rh: 0.1252 0.1252 0.6252 (multiplicity 16)

Here is an optimized crystal structure of ReMoRh2 from Alexandria via LeMat-Bulk. Energies are from PBE.

Properties
Mass density, g/cm3: 13.61
Crystal system: trigonal
Formation energy from the elements, eV per atom: -0.011
DFT total energy, eV/f.u.: -38.027
DOS at the Fermi energy, states/eV per cell: 18.0

Cell lengths 2.7613, 2.7613, 27.0524 Å; angles 90.00, 90.00, 120.00 degrees
Space group R3m (No. 160, hexagonal axes)
Unique sites:
Re: 0.0000 0.0000 0.0000 (multiplicity 3)
Mo: 0.0000 0.0000 0.2441 (multiplicity 3)
Rh: 0.0000 0.0000 0.4983 (multiplicity 3)
Rh: 0.0000 0.0000 0.7450 (multiplicity 3)

Here is an optimized crystal structure of ReMoRh2 from Alexandria via LeMat-Bulk. Energies are from PBE.

Properties
Mass density, g/cm3: 13.74
Crystal system: monoclinic
Formation energy from the elements, eV per atom: -0.036
DFT total energy, eV/f.u.: -38.126
DOS at the Fermi energy, states/eV per cell: 4.7

Cell lengths 4.7582, 2.7405, 4.7948 Å; angles 90.00, 109.42, 90.00 degrees
Space group P2/m (No. 10)
Unique sites:
Re: 0.0000 0.0000 0.0000 (multiplicity 1)
Mo: 0.5000 0.5000 0.0000 (multiplicity 1)
Rh: 0.0000 0.5000 0.5000 (multiplicity 1)
Rh: 0.5000 0.0000 0.5000 (multiplicity 1)

Here is an optimized crystal structure of ReMo2Rh2 from Alexandria via LeMat-Bulk. Energies are from PBE.

Properties
Mass density, g/cm3: 12.58
Crystal system: tetragonal
Formation energy from the elements, eV per atom: 0.164
DFT total energy, eV/f.u.: -47.992
DOS at the Fermi energy, states/eV per cell: 9.1

Cell lengths 7.4854, 7.4854, 2.7510 Å; angles 90.00, 90.00, 90.00 degrees
Space group P4/mbm (No. 127)
Unique sites:
Re: 0.0000 0.0000 0.0000 (multiplicity 2)
Mo: 0.1742 0.3258 0.5000 (multiplicity 4)
Rh: 0.1238 0.6238 0.0000 (multiplicity 4)

Here is an optimized crystal structure of ReMoRh2 from Alexandria via LeMat-Bulk. Energies are from PBE.

Properties
Mass density, g/cm3: 13.43
Crystal system: cubic
Formation energy from the elements, eV per atom: 0.421
DFT total energy, eV/f.u.: -36.299
DOS at the Fermi energy, states/eV per cell: 27.2

Cell lengths 6.2266, 6.2266, 6.2266 Å; angles 90.00, 90.00, 90.00 degrees
Space group Fm-3m (No. 225)
Unique sites:
Re: 0.0000 0.0000 0.0000 (multiplicity 4)
Mo: 0.0000 0.0000 0.5000 (multiplicity 4)
Rh: 0.2500 0.2500 0.2500 (multiplicity 8)

Here is an optimized crystal structure of ReMoRh4 from Alexandria via LeMat-Bulk. Energies are from PBE.

Properties
Mass density, g/cm3: 11.23
Crystal system: monoclinic
Formation energy from the elements, eV per atom: 0.313
DFT total energy, eV/f.u.: -50.804
DOS at the Fermi energy, states/eV per cell: 7.1

Cell lengths 5.7093, 6.2997, 5.7082 Å; angles 90.00, 92.49, 90.00 degrees
Space group C2/m (No. 12)
Unique sites:
Re: 0.0000 0.0000 0.0000 (multiplicity 2)
Mo: 0.0000 0.5000 0.5000 (multiplicity 2)
Rh: 0.2500 0.2450 0.7513 (multiplicity 8)

Here is an optimized crystal structure of ReMoRh2 from Alexandria via LeMat-Bulk. Energies are from PBE.

Properties
Mass density, g/cm3: 13.45
Crystal system: tetragonal
Formation energy from the elements, eV per atom: 0.244
DFT total energy, eV/f.u.: -37.004
DOS at the Fermi energy, states/eV per cell: 6.3

Cell lengths 3.3249, 3.3249, 5.4488 Å; angles 90.00, 90.00, 90.00 degrees
Space group P4/mmm (No. 123)
Unique sites:
Re: 0.0000 0.0000 0.0000 (multiplicity 1)
Mo: 0.0000 0.0000 0.5000 (multiplicity 1)
Rh: 0.5000 0.5000 0.2486 (multiplicity 2)

Here is an optimized crystal structure of ReMoRh3 from Alexandria via LeMat-Bulk. Energies are from PBE.

Properties
Mass density, g/cm3: 13.48
Crystal system: monoclinic
Formation energy from the elements, eV per atom: -0.145
DFT total energy, eV/f.u.: -46.059
DOS at the Fermi energy, states/eV per cell: 17.7

Cell lengths 4.7474, 13.7042, 5.4662 Å; angles 90.00, 125.04, 90.00 degrees
Space group C2/c (No. 15)
Unique sites:
Re: 0.0000 0.1033 0.2500 (multiplicity 4)
Mo: 0.0000 0.1000 0.7500 (multiplicity 4)
Rh: 0.0000 0.3029 0.2500 (multiplicity 4)
Rh: 0.0000 0.3043 0.7500 (multiplicity 4)
Rh: 0.0000 0.4992 0.2500 (multiplicity 4)

> What is the DOS at the Fermi energy in the tenth record?

17.7 states/eV per cell

> Look up the DOS at the Fermi energy of the first one.

7.2 states/eV per cell

> The highest DFT total energy belongs to which entry?

number 7